A geometry-optimized CoBiAsO structure. Source: the Open Quantum Materials Database, functional GGA+U.

Values from the calculation:
As for the symmetry: Pmc2_1, No. 26. The energy above the lowest structure with this stoichiometry is 81 meV/atom.

```
data_CoBiAsO
_space_group_name_H-M_alt 'P 1'
_space_group_IT_number 1
_space_group_name_Hall 'P 1'
_cell_length_a 3.695
_cell_length_b 6.660
_cell_length_c 6.635
_cell_angle_alpha 90.00
_cell_angle_beta 90.00
_cell_angle_gamma 90.00
loop_
_atom_site_label
_atom_site_fract_x
_atom_site_fract_y
_atom_site_fract_z
_atom_site_occupancy
As1 0.000 0.312 0.346 1
As2 0.000 0.688 0.846 1
Bi1 0.500 0.900 0.063 1
Bi2 0.500 0.100 0.563 1
Co1 0.000 0.661 0.465 1
Co2 0.000 0.339 0.965 1
O1 0.500 0.753 0.380 1
O2 0.500 0.247 0.880 1
```